Crystalline Na3Ho3SnSe8 at its relaxed geometry, computed with GGA-PBE.

a = 8.1704 Å, b = 8.1704 Å, c = 21.2906 Å
α = 90.00°, β = 90.00°, γ = 120.00°
Space group R-3m (No. 166, hexagonal axes)
Inequivalent atoms, fractional coordinates:
Na 0.0000 0.5000 0.0000 [9 per cell]
Ho 0.0000 0.5000 0.5000 [9 per cell]
Sn 0.0000 0.0000 0.5000 [3 per cell]
Se 0.0000 0.0000 0.2422 [6 per cell]
Se 0.0114 0.5057 0.2412 [18 per cell]

- Raw total energy: -4.72 eV/atom
- Spin magnetization: 0.000 μB/cell